Below is a geometry-optimized TbZn6 structure, with properties calculated at the GGA-PBE level.

a b c (Å): 5.536 5.536 8.120
angles (deg): 90.00 90.00 90.00
Space group P4/nbm (No. 125, origin choice 2)
Unique sites:
Tb: 0.250 0.750 0.000 (multiplicity 2)
Zn: 0.077 0.577 0.361 (multiplicity 8)
Zn: 0.250 0.250 0.160 (multiplicity 4)

- V: 17.774 A^3/atom
- Formation energy: -0.123 eV per atom
- Density of states at the Fermi level: 8.1 states/eV/cell
- E_tot: -26.3 eV/cell